No. 1
Below is Tb3TmMg3 after structural relaxation, with properties calculated at the PBE level.

Cell: 7.6956 7.6956 6.9716 Å, 90.00 90.00 92.58°
Atoms (fractional coordinates):
1 Tb 0.0000 0.0000 0.2463
2 Tb 0.0000 0.0000 0.7537
3 Tb 0.0000 0.5000 0.2519
4 Tb 0.0000 0.5000 0.7481
5 Tb 0.5000 0.0000 0.2519
6 Tb 0.5000 0.0000 0.7481
7 Tm 0.3085 0.3085 0.0000
8 Tm 0.6915 0.6915 0.0000
9 Mg 0.2562 0.7438 0.0000
10 Mg 0.2789 0.2789 0.5000
11 Mg 0.3134 0.6866 0.5000
12 Mg 0.6866 0.3134 0.5000
13 Mg 0.7211 0.7211 0.5000
14 Mg 0.7438 0.2562 0.0000

Its symmetry is Cmmm, No. 65. The value obtained for the energy of formation from the pure elements is 0.0825 eV/atom. The volume is 412.46 Å³/cell.

---

No. 2
Below is VPt after structural relaxation, with properties calculated at the PBE level.

Cell: 2.7084 2.7084 3.9024 Å, 90.00 90.00 90.00°
Atoms (fractional coordinates):
1 V 0.0000 0.0000 0.0000
2 Pt 0.5000 0.5000 0.5000

Its symmetry is P4/mmm, No. 123. The value obtained for the energy of formation from the pure elements is -0.5617 eV/atom. The volume is 28.62 Å³/cell.

---

Please write out number 1 again, unchanged.
Below is Tb3TmMg3 after structural relaxation, with properties calculated at the PBE level.

Cell: 7.6956 7.6956 6.9716 Å, 90.00 90.00 92.58°
Atoms (fractional coordinates):
1 Tb 0.0000 0.0000 0.2463
2 Tb 0.0000 0.0000 0.7537
3 Tb 0.0000 0.5000 0.2519
4 Tb 0.0000 0.5000 0.7481
5 Tb 0.5000 0.0000 0.2519
6 Tb 0.5000 0.0000 0.7481
7 Tm 0.3085 0.3085 0.0000
8 Tm 0.6915 0.6915 0.0000
9 Mg 0.2562 0.7438 0.0000
10 Mg 0.2789 0.2789 0.5000
11 Mg 0.3134 0.6866 0.5000
12 Mg 0.6866 0.3134 0.5000
13 Mg 0.7211 0.7211 0.5000
14 Mg 0.7438 0.2562 0.0000

Its symmetry is Cmmm, No. 65. The value obtained for the energy of formation from the pure elements is 0.0825 eV/atom. The volume is 412.46 Å³/cell.